No. 1
Entry from the Alexandria database: a geometry-optimized Ca3InO structure (PBE).

abc: 7.168 7.168 7.168
angles: 57.09 57.09 57.09
Fractional coordinates of all 10 atoms:
Ca1 0.948 0.883 0.420
O1 0.172 0.172 0.172
In1 0.586 0.586 0.586
Ca2 0.117 0.580 0.052
Ca3 0.420 0.948 0.883
Ca4 0.052 0.117 0.580
O2 0.828 0.828 0.828
Ca5 0.883 0.420 0.948
In2 0.414 0.414 0.414
Ca6 0.580 0.052 0.117

The energy relative to the elements, uncorrected is -1.186 eV/atom. Its raw total energy is -3.927 eV/atom. The crystal system is trigonal. The total magnetization comes out at 0.00 Bohr magnetons per cell.



No. 2
Entry from the Alexandria database: a geometry-optimized Ca2In2O5 structure (PBE).

abc: 5.893 5.908 15.239
angles: 90.00 90.00 90.00
Fractional coordinates of all 36 atoms:
In1 0.500 0.500 0.000
O1 0.390 0.444 0.360
O2 0.110 0.944 0.140
O3 0.890 0.056 0.640
O4 0.693 0.804 0.029
In2 0.452 0.429 0.750
In3 0.048 0.929 0.750
Ca1 0.980 0.442 0.889
O5 0.610 0.556 0.640
O6 0.890 0.056 0.860
O7 0.693 0.804 0.471
O8 0.383 0.074 0.750
In4 0.548 0.571 0.250
Ca2 0.980 0.442 0.611
Ca3 0.480 0.058 0.389
O9 0.390 0.444 0.140
O10 0.807 0.304 0.029
In5 0.000 0.000 0.500
O11 0.193 0.696 0.529
In6 0.000 0.000 0.000
O12 0.610 0.556 0.860
O13 0.117 0.574 0.750
O14 0.883 0.426 0.250
In7 0.500 0.500 0.500
Ca4 0.020 0.558 0.389
O15 0.307 0.196 0.971
O16 0.307 0.196 0.529
O17 0.807 0.304 0.471
O18 0.193 0.696 0.971
O19 0.617 0.926 0.250
Ca5 0.520 0.942 0.611
Ca6 0.020 0.558 0.111
Ca7 0.480 0.058 0.111
In8 0.952 0.071 0.250
Ca8 0.520 0.942 0.889
O20 0.110 0.944 0.360

The energy relative to the elements, uncorrected is -2.156 eV/atom. Its raw total energy is -5.964 eV/atom. The crystal system is orthorhombic. The total magnetization comes out at 0.00 Bohr magnetons per cell.



No. 3
Entry from the Alexandria database: a geometry-optimized CaInO2 structure (PBE).

abc: 5.260 5.260 6.437
angles: 65.88 65.88 90.00
Fractional coordinates of all 8 atoms:
O1 0.375 0.369 0.750
O2 0.875 0.881 0.750
O3 0.631 0.125 0.250
In1 0.000 0.000 0.000
Ca1 0.250 0.750 0.500
O4 0.119 0.625 0.250
In2 0.750 0.250 0.500
Ca2 0.500 0.500 0.000

The energy relative to the elements, uncorrected is -1.890 eV/atom. Its raw total energy is -5.555 eV/atom. The crystal system is tetragonal. The total magnetization comes out at 0.00 Bohr magnetons per cell.



No. 4
Entry from the Alexandria database: a geometry-optimized CaInO2 structure (PBE).

abc: 6.738 6.738 6.738
angles: 30.20 30.20 30.20
Fractional coordinates of all 4 atoms:
O1 0.105 0.105 0.105
Ca1 0.500 0.500 0.500
O2 0.895 0.895 0.895
In1 0.000 0.000 0.000

The energy relative to the elements, uncorrected is -1.805 eV/atom. Its raw total energy is -5.469 eV/atom. The crystal system is trigonal. The total magnetization comes out at 0.00 Bohr magnetons per cell.



No. 5
Entry from the Alexandria database: a geometry-optimized CaIn5O8 structure (PBE).

abc: 6.643 6.643 6.643
angles: 60.00 60.00 60.00
Fractional coordinates of all 14 atoms:
O1 0.408 0.864 0.864
In1 0.000 0.000 0.000
O2 0.389 0.834 0.389
O3 0.864 0.864 0.864
O4 0.864 0.864 0.408
O5 0.389 0.389 0.389
Ca1 0.250 0.250 0.250
In2 0.129 0.624 0.624
In3 0.624 0.129 0.624
O6 0.389 0.389 0.834
O7 0.834 0.389 0.389
O8 0.864 0.408 0.864
In4 0.624 0.624 0.624
In5 0.624 0.624 0.129

The energy relative to the elements, uncorrected is -1.727 eV/atom. Its raw total energy is -5.681 eV/atom. The crystal system is cubic. The total magnetization comes out at 0.00 Bohr magnetons per cell.



No. 6
Entry from the Alexandria database: a geometry-optimized Ca3InO structure (PBE).

abc: 18.717 8.027 8.027
angles: 152.07 145.38 34.62
Fractional coordinates of all 10 atoms:
O1 0.890 0.891 0.109
O2 0.110 0.109 0.891
Ca1 0.723 0.295 0.705
In1 0.477 0.120 0.880
Ca2 0.033 0.631 0.369
Ca3 0.324 0.915 0.085
Ca4 0.277 0.705 0.295
Ca5 0.967 0.369 0.631
Ca6 0.676 0.085 0.915
In2 0.523 0.880 0.120

The energy relative to the elements, uncorrected is -1.261 eV/atom. Its raw total energy is -4.001 eV/atom. The crystal system is monoclinic. The total magnetization comes out at 0.00 Bohr magnetons per cell.



No. 7
Entry from the Alexandria database: a geometry-optimized Ca2InO structure (PBE).

abc: 3.137 3.137 7.960
angles: 90.00 90.00 90.00
Fractional coordinates of all 4 atoms:
Ca1 0.000 0.000 0.818
O1 0.500 0.500 0.000
In1 0.500 0.500 0.500
Ca2 0.000 0.000 0.182

The energy relative to the elements, uncorrected is -1.292 eV/atom. Its raw total energy is -4.217 eV/atom. Its relative energy among the computed polymorphs is 183.8 meV/atom. The crystal system is tetragonal. The total magnetization comes out at 0.00 Bohr magnetons per cell.



No. 8
Entry from the Alexandria database: a geometry-optimized Ca3InO structure (PBE).

abc: 4.546 4.546 9.159
angles: 90.00 90.00 90.00
Fractional coordinates of all 5 atoms:
O1 0.500 0.500 0.444
Ca1 0.000 0.000 0.810
In1 0.000 0.000 0.151
Ca2 0.500 0.000 0.430
Ca3 0.000 0.500 0.430

The energy relative to the elements, uncorrected is -0.773 eV/atom. Its raw total energy is -3.513 eV/atom. The crystal system is tetragonal. The total magnetization comes out at 0.00 Bohr magnetons per cell.



No. 9
Entry from the Alexandria database: a geometry-optimized CaIn2O4 structure (PBE).

abc: 3.260 9.809 11.446
angles: 90.00 90.00 90.00
Fractional coordinates of all 28 atoms:
Ca1 0.250 0.254 0.152
O1 0.750 0.089 0.074
O2 0.250 0.705 0.678
Ca2 0.750 0.746 0.848
Ca3 0.250 0.754 0.348
O3 0.250 0.911 0.926
O4 0.750 0.295 0.322
O5 0.750 0.795 0.178
In1 0.250 0.415 0.895
In2 0.750 0.568 0.614
O6 0.750 0.969 0.718
Ca4 0.750 0.246 0.652
O7 0.250 0.031 0.282
In3 0.750 0.585 0.105
O8 0.250 0.125 0.528
O9 0.750 0.469 0.782
O10 0.250 0.205 0.822
O11 0.750 0.375 0.028
O12 0.250 0.625 0.972
O13 0.750 0.589 0.426
O14 0.250 0.531 0.218
In4 0.750 0.085 0.395
In5 0.250 0.432 0.386
In6 0.250 0.932 0.114
O15 0.750 0.875 0.472
O16 0.250 0.411 0.574
In7 0.250 0.915 0.605
In8 0.750 0.068 0.886

The energy relative to the elements, uncorrected is -1.983 eV/atom. Its raw total energy is -5.884 eV/atom. The crystal system is orthorhombic. The total magnetization comes out at 0.00 Bohr magnetons per cell.



No. 10
Entry from the Alexandria database: a geometry-optimized Ca3InO structure (PBE).

abc: 3.480 8.772 8.772
angles: 134.02 90.00 90.00
Fractional coordinates of all 5 atoms:
Ca1 0.500 0.203 0.335
Ca2 0.500 0.665 0.797
In1 0.500 0.093 0.907
O1 0.000 0.406 0.594
Ca3 0.000 0.260 0.740

The energy relative to the elements, uncorrected is -0.865 eV/atom. Its raw total energy is -3.606 eV/atom. The crystal system is orthorhombic. The total magnetization comes out at 0.00 Bohr magnetons per cell.



No. 11
Entry from the Alexandria database: a geometry-optimized Ca2InO structure (PBE).

abc: 3.500 3.500 9.328
angles: 79.19 79.19 60.00
Fractional coordinates of all 4 atoms:
Ca1 0.883 0.883 0.350
Ca2 0.117 0.117 0.650
O1 0.500 0.500 0.500
In1 0.000 0.000 0.000

The energy relative to the elements, uncorrected is -1.273 eV/atom. Its raw total energy is -4.198 eV/atom. Its relative energy among the computed polymorphs is 203.7 meV/atom. The crystal system is trigonal. The total magnetization comes out at 0.54 Bohr magnetons per cell.



No. 12
Entry from the Alexandria database: a geometry-optimized Ca5InO6 structure (PBE).

abc: 5.963 5.968 5.967
angles: 59.99 80.39 70.50
Fractional coordinates of all 12 atoms:
Ca1 0.000 0.667 0.666
Ca2 0.000 0.333 0.334
O1 0.744 0.743 0.000
O2 0.255 0.915 0.658
Ca3 0.500 0.500 0.000
Ca4 0.500 0.165 0.670
O3 0.256 0.257 0.000
O4 0.745 0.085 0.342
O5 0.745 0.427 0.658
Ca5 0.500 0.835 0.330
O6 0.255 0.573 0.342
In1 0.000 0.000 0.000

The energy relative to the elements, uncorrected is -2.583 eV/atom. Its raw total energy is -6.125 eV/atom. The crystal system is monoclinic. The total magnetization comes out at 0.15 Bohr magnetons per cell.



No. 13
Entry from the Alexandria database: a geometry-optimized CaInO3 structure (PBE).

abc: 4.386 4.386 4.386
angles: 90.00 90.00 90.00
Fractional coordinates of all 5 atoms:
Ca1 0.500 0.500 0.500
In1 0.000 0.000 0.000
O1 0.500 0.500 0.000
O2 0.500 0.000 0.500
O3 0.000 0.500 0.500

The energy relative to the elements, uncorrected is -0.700 eV/atom. Its raw total energy is -4.623 eV/atom. The crystal system is cubic. The total magnetization comes out at 2.45 Bohr magnetons per cell.



No. 14
Entry from the Alexandria database: a geometry-optimized CaIn3O structure (PBE).

abc: 5.976 5.976 5.976
angles: 90.00 90.00 90.00
Fractional coordinates of all 5 atoms:
O1 0.500 0.500 0.500
Ca1 0.000 0.000 0.000
In1 0.000 0.500 0.000
In2 0.000 0.000 0.500
In3 0.500 0.000 0.000

The energy relative to the elements, uncorrected is 0.997 eV/atom. Its raw total energy is -2.038 eV/atom. Its relative energy among the computed polymorphs is 1394.0 meV/atom. The crystal system is cubic. The total magnetization comes out at 0.00 Bohr magnetons per cell.



No. 15
Entry from the Alexandria database: a geometry-optimized Ca3InO structure (PBE).

abc: 3.832 8.739 9.403
angles: 90.00 114.05 90.00
Fractional coordinates of all 10 atoms:
O1 0.912 0.750 0.662
Ca1 0.927 0.448 0.178
Ca2 0.073 0.552 0.822
Ca3 0.927 0.052 0.178
Ca4 0.263 0.750 0.512
In1 0.422 0.750 0.172
O2 0.088 0.250 0.338
Ca5 0.073 0.948 0.822
Ca6 0.737 0.250 0.488
In2 0.578 0.250 0.828

The energy relative to the elements, uncorrected is -1.279 eV/atom. Its raw total energy is -4.019 eV/atom. The crystal system is monoclinic. The total magnetization comes out at 0.00 Bohr magnetons per cell.



No. 16
Entry from the Alexandria database: a geometry-optimized Ca3InO structure (PBE).

abc: 7.060 7.060 7.151
angles: 90.00 90.00 119.82
Fractional coordinates of all 10 atoms:
Ca1 0.953 0.543 0.250
O1 0.109 0.891 0.250
In1 0.449 0.551 0.250
Ca2 0.000 0.000 0.000
Ca3 0.457 0.047 0.250
In2 0.551 0.449 0.750
Ca4 0.543 0.953 0.750
O2 0.891 0.109 0.750
Ca5 0.000 0.000 0.500
Ca6 0.047 0.457 0.750

The energy relative to the elements, uncorrected is -1.149 eV/atom. Its raw total energy is -3.890 eV/atom. The crystal system is orthorhombic. The total magnetization comes out at 0.00 Bohr magnetons per cell.



No. 17
Entry from the Alexandria database: a geometry-optimized Ca3InO structure (PBE).

abc: 5.944 14.261 6.721
angles: 90.00 90.00 90.00
Fractional coordinates of all 20 atoms:
Ca1 0.494 0.119 0.438
Ca2 0.506 0.881 0.562
Ca3 0.006 0.619 0.938
Ca4 0.994 0.119 0.062
Ca5 0.994 0.381 0.062
O1 0.572 0.250 0.597
O2 0.072 0.250 0.903
In1 0.000 0.000 0.500
Ca6 0.006 0.881 0.938
Ca7 0.452 0.250 0.908
Ca8 0.952 0.250 0.592
O3 0.428 0.750 0.403
O4 0.928 0.750 0.097
Ca9 0.548 0.750 0.092
Ca10 0.048 0.750 0.408
Ca11 0.494 0.381 0.438
In2 0.500 0.000 0.000
In3 0.500 0.500 0.000
Ca12 0.506 0.619 0.562
In4 0.000 0.500 0.500

The energy relative to the elements, uncorrected is -1.288 eV/atom. Its raw total energy is -4.029 eV/atom. The crystal system is orthorhombic. The total magnetization comes out at 0.00 Bohr magnetons per cell.



No. 18
Entry from the Alexandria database: a geometry-optimized Ca2InO structure (PBE).

abc: 5.142 5.142 5.142
angles: 60.00 60.00 60.00
Fractional coordinates of all 4 atoms:
O1 0.000 0.000 0.000
Ca1 0.750 0.750 0.750
Ca2 0.250 0.250 0.250
In1 0.500 0.500 0.500

The energy relative to the elements, uncorrected is -0.435 eV/atom. Its raw total energy is -3.360 eV/atom. Its relative energy among the computed polymorphs is 1041.7 meV/atom. The crystal system is cubic. The total magnetization comes out at 1.43 Bohr magnetons per cell.



No. 19
Entry from the Alexandria database: a geometry-optimized Ca2InO structure (PBE).

abc: 6.936 6.936 6.598
angles: 58.29 58.29 90.00
Fractional coordinates of all 8 atoms:
O1 0.500 0.500 0.000
Ca1 0.875 0.747 0.750
Ca2 0.253 0.625 0.250
Ca3 0.375 0.503 0.750
In1 0.750 0.250 0.500
O2 0.250 0.750 0.500
In2 0.000 0.000 0.000
Ca4 0.497 0.125 0.250

The energy relative to the elements, uncorrected is -1.476 eV/atom. Its raw total energy is -4.401 eV/atom. Its relative energy among the computed polymorphs is 0.0 meV/atom. The crystal system is tetragonal. The total magnetization comes out at 0.00 Bohr magnetons per cell.